The following is a DFT calculation (PBE) of crystalline PtSeCl at its relaxed geometry.

abc: 6.2101 6.2101 6.2101
angles: 149.70 149.70 43.38
Positions (direct):
Cl 0.9846 0.9846 0.0000
Pt 0.3076 0.3076 0.0000
Se 0.7078 0.7078 0.0000

Output
Raw formation energy ... 162 meV per atom
Total moment ... 0.00 μB per cell
Space group ... I4mm (107)

***

The following is a DFT calculation (PBE) of crystalline PtSeCl at its relaxed geometry.

abc: 4.4933 4.4933 4.4933
angles: 60.00 60.00 60.00
Positions (direct):
Cl 0.0000 0.0000 0.0000
Pt 0.5000 0.5000 0.5000
Se 0.2500 0.2500 0.2500

Output
Raw formation energy ... 662 meV per atom
Total moment ... 0.00 μB per cell
Space group ... F-43m (216)

***

The following is a DFT calculation (PBE) of crystalline PtSeCl2 at its relaxed geometry.

abc: 4.3168 4.3168 8.6026
angles: 90.00 90.00 132.10
Positions (direct):
Se 0.5000 0.5000 0.7025
Pt 0.0000 0.0000 0.5188
Cl 0.5000 0.5000 0.3261
Cl 0.0000 0.0000 0.9526

Output
Raw formation energy ... -6 meV per atom
Total moment ... 0.97 μB per cell
E above lowest polymorph ... 367 meV per atom
Space group ... Cmm2 (35)

***

The following is a DFT calculation (PBE) of crystalline Pt2Se3Cl at its relaxed geometry.

abc: 7.5118 7.5118 7.5388
angles: 60.12 60.12 60.00
Positions (direct):
Se 0.7623 0.2632 0.2122
Se 0.7368 0.2377 0.7878
Se 0.2377 0.2377 0.7878
Se 0.7623 0.7623 0.2122
Se 0.2632 0.7623 0.2122
Se 0.2377 0.7368 0.7878
Pt 0.0000 0.0000 0.0000
Pt 0.5000 0.5000 0.0000
Pt 0.0000 0.5000 0.0000
Pt 0.5000 0.0000 0.0000
Cl 0.2606 0.2606 0.2183
Cl 0.7394 0.7394 0.7817

Output
Raw formation energy ... -232 meV per atom
Total moment ... 1.98 μB per cell
Space group ... R-3m (166)

***

The following is a DFT calculation (PBE) of crystalline PtSeCl at its relaxed geometry.

abc: 4.4480 4.4480 4.4480
angles: 60.00 60.00 60.00
Positions (direct):
Cl 0.5000 0.5000 0.5000
Pt 0.2500 0.2500 0.2500
Se 0.0000 0.0000 0.0000

Output
Raw formation energy ... 293 meV per atom
Total moment ... 0.00 μB per cell
Space group ... F-43m (216)

***

The following is a DFT calculation (PBE) of crystalline PtSeCl at its relaxed geometry.

abc: 3.7370 3.7370 5.4613
angles: 90.00 90.00 120.00
Positions (direct):
Se 0.6667 0.3333 0.5773
Pt 0.3333 0.6667 0.3508
Cl 0.0000 0.0000 0.0719

Output
Raw formation energy ... -219 meV per atom
Total moment ... 0.00 μB per cell
Space group ... P3m1 (156)

***

The following is a DFT calculation (PBE) of crystalline PtSeCl2 at its relaxed geometry.

abc: 4.7204 4.7204 7.2626
angles: 78.62 78.62 42.44
Positions (direct):
Pt 0.2500 0.2500 0.2500
Cl 0.8585 0.8585 0.0346
Cl 0.6415 0.6415 0.4654
Se 0.7500 0.7500 0.7500

Output
Raw formation energy ... 224 meV per atom
Total moment ... 0.00 μB per cell
E above lowest polymorph ... 598 meV per atom
Space group ... C2/m (12)

***

The following is a DFT calculation (PBE) of crystalline PtSeCl2 at its relaxed geometry.

abc: 6.4650 6.4649 6.4650
angles: 151.71 119.50 68.10
Positions (direct):
Cl 0.9088 0.9088 0.0000
Cl 0.5912 0.5912 0.0000
Se 0.2500 0.7500 0.5000
Pt 0.7500 0.2500 0.5000

Output
Raw formation energy ... 194 meV per atom
Total moment ... 1.26 μB per cell
E above lowest polymorph ... 567 meV per atom
Space group ... Immm (71)

***

The following is a DFT calculation (PBE) of crystalline Sm6Pt2Se3Cl at its relaxed geometry.

abc: 4.0754 8.5855 9.4971
angles: 104.86 102.39 90.00
Positions (direct):
Se 0.1592 0.8413 0.3185
Se 0.5000 0.5000 0.0000
Se 0.8408 0.1587 0.6815
Sm 0.9925 0.7330 0.9850
Sm 0.6683 0.5781 0.3366
Sm 0.0075 0.2670 0.0150
Sm 0.6738 0.1085 0.3476
Sm 0.3317 0.4219 0.6634
Sm 0.3262 0.8915 0.6524
Pt 0.1672 0.3372 0.3345
Pt 0.8328 0.6628 0.6655
Cl 0.5000 0.0000 0.0000

Output
Raw formation energy ... -1519 meV per atom
Total moment ... 0.00 μB per cell
Space group ... C2/m (12)

***

The following is a DFT calculation (PBE) of crystalline SnPt2SeCl at its relaxed geometry.

abc: 4.4206 6.6178 4.4206
angles: 90.00 90.00 90.00
Positions (direct):
Cl 0.0000 0.0000 0.0000
Pt 0.0000 0.0000 0.5000
Pt 0.5000 0.0000 0.0000
Se 0.0000 0.5000 0.0000
Sn 0.5000 0.5000 0.5000

Output
Raw formation energy ... 690 meV per atom
Total moment ... 0.00 μB per cell
Space group ... P4/mmm (123)

***

The following is a DFT calculation (PBE) of crystalline SnPtSe2Cl at its relaxed geometry.

abc: 4.9600 5.3196 4.9600
angles: 90.00 90.00 90.00
Positions (direct):
Sn 0.0000 0.5000 0.0000
Cl 0.0000 0.0000 0.0000
Se 0.5000 0.0000 0.0000
Se 0.0000 0.0000 0.5000
Pt 0.5000 0.5000 0.5000

Output
Raw formation energy ... 1019 meV per atom
Total moment ... 0.00 μB per cell
Space group ... P4/mmm (123)

***

The following is a DFT calculation (PBE) of crystalline Tb3PtSeCl at its relaxed geometry.

abc: 4.0463 8.2103 9.8937
angles: 94.37 90.00 90.00
Positions (direct):
Tb 0.7500 0.8210 0.1134
Tb 0.2500 0.6486 0.8144
Tb 0.7500 0.3534 0.6045
Tb 0.7500 0.3514 0.1856
Tb 0.2500 0.6466 0.3955
Tb 0.2500 0.1790 0.8866
Se 0.7500 0.9139 0.8343
Se 0.2500 0.0861 0.1657
Cl 0.7500 0.8669 0.4063
Cl 0.2500 0.1331 0.5937
Pt 0.7500 0.4310 0.8921
Pt 0.2500 0.5690 0.1079

Output
Raw formation energy ... -1397 meV per atom
Total moment ... 0.00 μB per cell
Space group ... P2_1/m (11)

***

The following is a DFT calculation (PBE) of crystalline Tb8Pt3Se4Cl at its relaxed geometry.

abc: 8.0877 8.4282 8.0874
angles: 118.67 120.00 90.00
Positions (direct):
Pt 0.5000 0.5000 0.5000
Pt 0.5000 0.5000 0.0000
Pt 0.0000 0.5000 0.5000
Cl 0.0000 0.5000 0.0000
Tb 0.2673 0.2601 0.0138
Tb 0.2535 0.7399 0.9862
Tb 0.7464 0.2600 0.4927
Tb 0.2576 0.2727 0.5151
Tb 0.7465 0.2601 0.0138
Tb 0.7424 0.7273 0.4849
Tb 0.7327 0.7399 0.9862
Tb 0.2536 0.7400 0.5073
Se 0.0000 0.0000 0.0000
Se 0.0000 0.0000 0.5000
Se 0.5000 0.0000 0.0000
Se 0.5000 0.0000 0.5000

Output
Raw formation energy ... -1507 meV per atom
Total moment ... 0.00 μB per cell
Space group ... R-3m (166)

***

The following is a DFT calculation (PBE) of crystalline Tb4PtSe2Cl at its relaxed geometry.

abc: 3.9698 7.2627 7.1538
angles: 71.83 90.00 90.00
Positions (direct):
Tb 0.0000 0.2471 0.2641
Tb 0.5000 0.7341 0.2698
Tb 0.5000 0.2659 0.7302
Tb 0.0000 0.7529 0.7359
Se 0.5000 0.0000 0.5000
Se 0.0000 0.0000 0.0000
Cl 0.5000 0.5000 0.0000
Pt 0.0000 0.5000 0.5000

Output
Raw formation energy ... -1530 meV per atom
Total moment ... 0.00 μB per cell
Space group ... P2/m (10)